# DyNpV

A relaxed DyNpV crystal (GGA-PBE, the Alexandria database).

Properties
- M_tot: 0.867 μB per atom
- Total DFT energy (no corrections): -8.501 eV per atom
- E_form: 0.386 eV per atom

Geometry as POSCAR:
```
DyNpV
1.0
3.2171 0.0000 0.0000
1.6085 6.6490 -0.3127
1.6085 1.8957 6.1149
Np Dy V
2 2 2
direct
0.8831 0.1714 0.0623
0.1169 0.8286 0.9377
0.6026 0.2282 0.5666
0.3974 0.7718 0.4334
0.8334 0.4931 0.8401
0.1666 0.5069 0.1599
```

***

# DyYNp

A relaxed DyYNp crystal (GGA-PBE, the Alexandria database).

Properties
- M_tot: 0.471 μB per atom
- Total DFT energy (no corrections): -7.771 eV per atom
- E_form: 0.232 eV per atom

Geometry as POSCAR:
```
DyYNp
1.0
3.5542 0.0000 0.0000
0.0000 5.8362 -0.1238
-1.7771 -1.4368 8.3075
Np Y Dy
2 2 2
direct
0.2378 0.8610 0.4755
0.7622 0.1390 0.5245
0.4344 0.2085 0.8688
0.5656 0.7915 0.1312
0.1251 0.3216 0.2502
0.8749 0.6784 0.7498
```

***

# DyNpZn4

A relaxed DyNpZn4 crystal (GGA-PBE, the Alexandria database).

Properties
- M_tot: 0.665 μB per atom
- Total DFT energy (no corrections): -3.855 eV per atom
- E_form: -0.082 eV per atom

Geometry as POSCAR:
```
DyNpZn4
1.0
5.4506 0.0000 0.0000
2.7253 4.7204 0.0000
2.7253 1.5735 4.4504
Dy Zn Np
1 4 1
direct
0.2500 0.2500 0.2500
0.1250 0.6250 0.6250
0.6250 0.1250 0.6250
0.6250 0.6250 0.6250
0.6250 0.6250 0.1250
0.0000 0.0000 0.0000
```

***

# Dy3O

A relaxed Dy3O crystal (GGA-PBE, the Alexandria database).

Properties
- Formation energy without anion corrections: -1.081 eV/atom
- M_tot: 0.000 μB per atom
- Total DFT energy (no corrections): -5.772 eV per atom

Geometry as POSCAR:
```
Dy3O
1.0
-2.6191 0.8559 -1.6881
0.9652 -4.4483 -3.7528
-1.9534 -1.1752 5.5275
Dy O
3 1
direct
0.5000 0.3579 0.0000
0.3322 0.7047 0.6644
0.6678 0.0403 0.3356
0.0000 0.0639 0.0000
```